Here is a relaxed structure of Sr3Sn9Pd2 from Alexandria. Energies are from PBE-GGA.

Calculated values
M_tot in μB per atom: 0.00
Energy relative to the elements in meV/atom: -434.8
E in eV per cell: -57.544
Density of states at the Fermi level in states/eV/cell: 5.84
Calculated volume in A^3/atom: 27.55

a b c (Å): 4.6251 9.4316 9.4316
angles (deg): 82.75 75.81 75.81
Last column: nearest neighbours and their distance in Å.
Sites, in units of the cell vectors:
Sn: 0.6489 0.7198 0.9824  1 Pd 2.84, 3 Sn 3.06-3.14
Sn: 0.8719 0.8375 0.4187  2 Pd 2.88, 4 Sn 3.06-3.14
Sn: 0.8719 0.4187 0.8375  2 Pd 2.88, 4 Sn 3.06-3.14
Sn: 0.1281 0.1625 0.5813  2 Pd 2.88, 4 Sn 3.06-3.14
Sn: 0.3511 0.0176 0.2802  1 Pd 2.84, 3 Sn 3.06-3.14
Sn: 0.1281 0.5813 0.1625  2 Pd 2.88, 4 Sn 3.06-3.14
Sn: 0.6489 0.9824 0.7198  1 Pd 2.84, 3 Sn 3.06-3.14
Sn: 0.3511 0.2802 0.0176  1 Pd 2.84, 3 Sn 3.06-3.14
Sn: 0.0000 0.5000 0.5000  4 Sn 3.12, 4 Sr 3.41, 4 Pd 3.45
Sr: 0.3125 0.6875 0.6875  10 Sn 3.41-3.58, 2 Pd 3.59
Sr: 0.6875 0.3125 0.3125  10 Sn 3.41-3.58, 2 Pd 3.59
Sr: 0.0000 0.0000 0.0000  8 Sn 3.46
Pd: 0.5000 0.7058 0.2942  6 Sn 2.84-2.88
Pd: 0.5000 0.2942 0.7058  6 Sn 2.84-2.88